! MgReAu2, relaxed, DFT GGA-PBEsol; values from VASP
&SYSTEM
  ibrav = 0, nat = 4, ntyp = 3
/
ATOMIC_SPECIES
Mg 24.30 Mg.upf
Au 196.97 Au.upf
Re 186.21 Re.upf
ATOMIC_POSITIONS angstrom
Mg 0.000 0.000 4.316
Au 0.000 0.000 8.522
Au 1.373 1.373 2.228
Re 1.373 1.373 6.458
CELL_PARAMETERS angstrom
2.746 0.000 0.000
0.000 2.746 0.000
0.000 0.000 8.610
! Space group: P4mm (99)
! ΔE_f in kJ per mole of atoms: 13.8


! SiHgAu2, relaxed, DFT GGA-PBEsol; values from VASP
&SYSTEM
  ibrav = 0, nat = 4, ntyp = 3
/
ATOMIC_SPECIES
Si 28.09 Si.upf
Hg 200.59 Hg.upf
Au 196.97 Au.upf
ATOMIC_POSITIONS angstrom
Si 3.302 1.906 3.878
Hg 0.000 0.000 0.000
Au 1.651 0.953 2.210
Au 4.953 2.859 5.545
CELL_PARAMETERS angstrom
3.302 0.000 0.000
1.651 2.859 0.000
1.651 0.953 7.755
! Space group: R-3m (166)
! Polymorph energy (0 for the lowest one) in meV/atom: 0.0
! E_form (uncorrected) in kJ/mol of atoms: 2


! Ba2CaI6, relaxed, DFT GGA-PBEsol; values from VASP
&SYSTEM
  ibrav = 0, nat = 27, ntyp = 3
/
ATOMIC_SPECIES
I 126.90 I.upf
Ba 137.33 Ba.upf
Ca 40.08 Ca.upf
ATOMIC_POSITIONS angstrom
I -8.340 0.359 4.634
I -12.157 -1.095 0.613
I -9.747 -3.623 4.009
Ba -6.856 2.661 2.245
I -7.907 -2.644 0.634
I -4.611 -8.701 4.399
Ca 0.000 0.000 0.000
I -6.203 -5.187 3.156
I -3.873 -6.053 9.427
I -4.753 -0.430 2.472
Ba 3.837 -4.969 4.439
I -2.074 -8.131 1.022
I 0.841 -6.101 3.391
I -8.756 -6.945 6.914
I -3.934 -5.096 -0.756
Ba -4.914 -1.823 -0.831
Ba -2.107 -1.611 4.666
I -0.883 -10.752 4.165
I 4.160 -8.362 5.473
Ca -1.662 -7.732 4.089
I -1.537 -2.430 1.247
Ba -0.036 -5.304 0.170
I -5.437 -2.323 6.228
I -0.421 -7.493 6.884
Ca -7.037 -2.261 3.551
I -2.659 -4.931 4.845
Ba -5.535 -5.903 6.446
CELL_PARAMETERS angstrom
-3.573 -6.074 -3.711
6.515 -8.438 7.538
-11.641 4.519 3.812
! Space group: P321 (150)
! E_form (uncorrected) in kJ/mol of atoms: -162


! ReNi2W, relaxed, DFT GGA-PBEsol; values from VASP
&SYSTEM
  ibrav = 0, nat = 4, ntyp = 3
/
ATOMIC_SPECIES
Ni 58.69 Ni.upf
W 183.84 W.upf
Re 186.21 Re.upf
ATOMIC_POSITIONS angstrom
Ni 0.000 0.000 1.888
Ni 1.836 1.836 1.888
W 1.836 0.000 0.000
Re 0.000 1.836 0.000
CELL_PARAMETERS angstrom
3.672 0.000 0.000
0.000 3.672 0.000
-1.836 -1.836 3.776
! Space group: I4/mmm (139)
! ΔE_f in kJ per mole of atoms: 3.0


! LiMgAg2, relaxed, DFT GGA-PBEsol; values from VASP
&SYSTEM
  ibrav = 0, nat = 4, ntyp = 3
/
ATOMIC_SPECIES
Ag 107.87 Ag.upf
Li 6.94 Li.upf
Mg 24.30 Mg.upf
ATOMIC_POSITIONS angstrom
Ag 0.205 -3.608 2.361
Li -0.770 0.169 1.253
Ag -0.710 -2.274 -0.130
Mg 1.652 -1.466 1.213
CELL_PARAMETERS angstrom
-1.540 0.338 2.506
-2.268 -3.288 -2.700
3.303 -2.932 2.425
! Space group: C2/m (12)
! ΔE_f in kJ per mole of atoms: -13.2


! Li2TlTcN, relaxed, DFT GGA-PBEsol; values from VASP
&SYSTEM
  ibrav = 0, nat = 5, ntyp = 4
/
ATOMIC_SPECIES
Tc 98.00 Tc.upf
Tl 204.38 Tl.upf
Li 6.94 Li.upf
N 14.01 N.upf
ATOMIC_POSITIONS angstrom
Tc -1.367 1.289 -0.391
Tl -2.007 1.475 2.459
Li 0.656 1.173 1.574
Li -1.296 -0.987 1.276
N 0.000 0.000 0.000
CELL_PARAMETERS angstrom
-2.733 2.577 -0.782
-2.592 -1.974 2.552
1.312 2.346 3.147
! Space group: P4/mmm (123)
! E_form (uncorrected) in kJ/mol of atoms: -23


! Ba6Bi6O17, relaxed, DFT GGA-PBEsol; values from VASP
&SYSTEM
  ibrav = 0, nat = 29, ntyp = 3
/
ATOMIC_SPECIES
Bi 208.98 Bi.upf
O 16.00 O.upf
Ba 137.33 Ba.upf
ATOMIC_POSITIONS angstrom
Bi -1.235 -4.486 5.725
Bi 0.300 -3.751 -0.248
O 0.632 -5.524 6.265
O -1.483 -2.464 -0.393
Ba -2.283 -3.077 2.430
O -0.858 -5.268 0.916
Ba 1.335 -5.190 2.988
O -0.089 -3.004 4.505
O -0.135 -4.726 -2.171
Ba -0.768 -2.264 -3.588
O -2.347 -5.012 -4.433
O -1.580 -5.809 4.003
Bi -4.157 -3.707 -4.581
O -4.503 -2.760 0.441
Ba 0.568 -7.458 -0.597
O -0.233 -8.072 2.226
O 2.909 -2.709 3.677
Bi -3.377 -1.410 -0.940
O 2.141 -4.973 0.088
O -2.465 -7.619 0.153
Bi -2.015 -6.784 2.081
O -3.767 -2.558 -2.760
O 0.750 -2.917 1.679
Ba 0.000 0.000 0.000
O -5.368 -5.309 -3.599
O 3.653 -5.227 5.431
O 2.788 -7.775 1.392
Bi -0.480 -6.050 -3.892
Ba -3.050 -5.345 -1.156
CELL_PARAMETERS angstrom
-5.997 -0.589 1.656
-1.536 -4.527 -7.177
5.819 -5.419 7.354
! Space group: Immm (71)
! E_form (uncorrected) in kJ/mol of atoms: -176


! La2SiNi, relaxed, DFT GGA-PBEsol; values from VASP
&SYSTEM
  ibrav = 0, nat = 4, ntyp = 3
/
ATOMIC_SPECIES
La 138.91 La.upf
Ni 58.69 Ni.upf
Si 28.09 Si.upf
ATOMIC_POSITIONS angstrom
La 0.844 -0.186 8.202
Ni 0.004 -0.034 5.234
Si 1.109 -0.195 3.080
La -2.435 0.342 6.830
CELL_PARAMETERS angstrom
-1.043 2.263 3.364
-1.698 -1.872 3.338
4.250 -0.701 4.395
! Space group: R3m (160)
! E_form (uncorrected) in kJ/mol of atoms: -53


no.,final energy (Ha/atom)
1,-0.205
2,-0.129
3,-0.131
4,-0.361
5,-0.100
6,-0.203
7,-0.229
8,-0.228